# 1
# Sm4CdIn3

Crystalline Sm4CdIn3 at its relaxed geometry (PBE-GGA, Alexandria).

a b c (Å): 3.8089 3.8089 15.4777
angles (deg): 90.00 90.00 90.00
With the nearest neighbours (Å) after each atom.
Fractional positions:
In: 0.5000 0.5000 0.2467  8 Sm 3.31-3.34
In: 0.5000 0.5000 0.5000  8 Sm 3.32
In: 0.5000 0.5000 0.7533  8 Sm 3.31-3.34
Sm: 0.0000 0.0000 0.8772  4 Cd 3.30, 4 In 3.31
Sm: 0.0000 0.0000 0.1228  4 Cd 3.30, 4 In 3.31
Sm: 0.0000 0.0000 0.3741  8 In 3.32-3.34
Sm: 0.0000 0.0000 0.6259  8 In 3.32-3.34
Cd: 0.5000 0.5000 0.0000  8 Sm 3.30

Output
**Size of the total moment**: 0.00 Bohr magnetons per cell
**Formation energy**: -0.4482 eV per atom



# 2
# SmCdIn2

Crystalline SmCdIn2 at its relaxed geometry (PBE-GGA, Alexandria).

a b c (Å): 4.6069 4.6750 4.6750
angles (deg): 90.00 90.00 90.00
With the nearest neighbours (Å) after each atom.
Fractional positions:
Cd: 0.5000 0.0000 0.0000  8 In 3.28, 4 Sm 3.31
Sm: 0.5000 0.5000 0.5000  8 In 3.28, 4 Cd 3.31
In: 0.0000 0.0000 0.5000  4 Sm 3.28, 4 Cd 3.28, 4 In 3.31
In: 0.0000 0.5000 0.0000  4 Cd 3.28, 4 Sm 3.28, 4 In 3.31

Output
**Size of the total moment**: 0.00 Bohr magnetons per cell
**Formation energy**: -0.4182 eV per atom



# 3
# Sm3CdIn

Crystalline Sm3CdIn at its relaxed geometry (PBE-GGA, Alexandria).

a b c (Å): 5.3111 5.3070 10.7743
angles (deg): 90.00 75.73 90.00
With the nearest neighbours (Å) after each atom.
Fractional positions:
Sm: 0.7643 0.2500 0.1197  2 Cd 3.30, 2 In 3.32, 4 Sm 3.64
Sm: 0.3837 0.2500 0.8810  2 Cd 3.30, 2 In 3.32, 4 Sm 3.64
Sm: 0.5739 0.2500 0.5005  4 In 3.31-3.32, 4 Cd 3.33
Sm: 0.2647 0.7500 0.1190  2 Cd 3.30, 2 In 3.32, 4 Sm 3.64
Sm: 0.8840 0.7500 0.8803  2 Cd 3.30, 2 In 3.32, 4 Sm 3.64
Sm: 0.0744 0.7500 0.4995  4 In 3.31-3.32, 4 Cd 3.33
Cd: 0.6705 0.7500 0.3074  8 Sm 3.30-3.33
Cd: 0.9779 0.2500 0.6926  8 Sm 3.30-3.33
In: 0.4791 0.7500 0.6901  8 Sm 3.31-3.32
In: 0.1692 0.2500 0.3099  8 Sm 3.31-3.32

Output
**Size of the total moment**: 1.85 Bohr magnetons per cell
**Formation energy**: -0.3059 eV per atom



# 4
# SmCdIn2

Crystalline SmCdIn2 at its relaxed geometry (PBE-GGA, Alexandria).

a b c (Å): 5.2707 5.2707 5.2707
angles (deg): 60.00 60.00 60.00
With the nearest neighbours (Å) after each atom.
Fractional positions:
Cd: 0.5000 0.5000 0.5000  8 In 3.23
Sm: 0.0000 0.0000 0.0000  8 In 3.23
In: 0.2500 0.2500 0.2500  4 Cd 3.23, 4 Sm 3.23
In: 0.7500 0.7500 0.7500  4 Sm 3.23, 4 Cd 3.23

Output
**Size of the total moment**: 0.00 Bohr magnetons per cell
**Formation energy**: -0.2138 eV per atom



# 5
# Sm4CdIn

Crystalline Sm4CdIn at its relaxed geometry (PBE-GGA, Alexandria).

a b c (Å): 5.2009 5.2011 7.6033
angles (deg): 89.98 89.99 90.01
With the nearest neighbours (Å) after each atom.
Fractional positions:
Sm: 0.5013 0.9972 0.2512  2 Cd 3.21, 2 In 3.24
Sm: 0.5013 0.9973 0.7451  2 Cd 3.21, 2 In 3.23
Sm: 0.0013 0.4973 0.7451  2 Cd 3.21, 2 In 3.23
Sm: 0.0013 0.4972 0.2513  2 Cd 3.21, 2 In 3.24
Cd: 0.0013 0.9973 0.4982  8 Sm 3.21
In: 0.5013 0.4973 0.9980  8 Sm 3.23-3.24

Output
**Size of the total moment**: 0.17 Bohr magnetons per cell
**Formation energy**: 0.0023 eV per atom



# 6
# Sm2CdIn

Crystalline Sm2CdIn at its relaxed geometry (PBE-GGA, Alexandria).

a b c (Å): 3.7652 3.7652 10.0867
angles (deg): 79.24 79.24 60.00
With the nearest neighbours (Å) after each atom.
Fractional positions:
Cd: 0.0000 0.0000 0.0000  6 Sm 3.30
Sm: 0.2494 0.2494 0.2517  3 In 3.27, 3 Cd 3.30
Sm: 0.7506 0.7506 0.7483  3 In 3.27, 3 Cd 3.30
In: 0.5000 0.5000 0.5000  6 Sm 3.27

Output
**Size of the total moment**: 0.00 Bohr magnetons per cell
**Formation energy**: -0.2265 eV per atom



size of the total moment of number 2 (SmCdIn2)?
0.00 Bohr magnetons per cell



Which formula does entry 3 have?
Sm3CdIn